Entry 1:
Density functional theory data (GGA-PBE) for an optimized crystal structure of SnHF6.

a b c (Å): 5.005 5.255 7.179
angles (deg): 57.00 41.32 60.43
Last column: magnetic moment on the atom in μB.
Element x y z (fractional)
F 0.809 0.577 0.276  0.00
F 0.516 0.787 0.722  0.07
H 0.500 0.500 0.500  0.00
F 0.191 0.423 0.724  0.00
F 0.484 0.213 0.278  0.07
Sn 0.000 0.000 0.000  -0.01
F 0.789 0.051 0.817  0.41
F 0.211 0.949 0.183  0.41

Computed properties:
**Electronic total energy**: -33.0 eV per formula unit
**V**: 103 Å³ per cell
**Symmetry**: P-1, No. 2

=====

Entry 2:
Density functional theory data (GGA-PBE) for an optimized crystal structure of SnH2F4.

a b c (Å): 6.031 6.032 8.632
angles (deg): 126.90 120.40 54.30
Element x y z (fractional)
H 0.500 0.326 0.120
F 0.530 0.134 0.359
F 0.927 0.196 0.872
H 0.044 0.370 0.620
F 0.475 0.579 0.859
H 0.682 0.406 0.869
F 0.923 0.624 0.744
H 0.713 0.936 0.368
F 0.370 0.571 0.244
F 0.927 0.694 0.372
F 0.603 0.126 0.004
Sn 0.343 0.698 0.532
Sn 0.084 0.939 0.032
F 0.128 0.151 0.505

Computed properties:
**Energy relative to the lowest polymorph listed for this composition**: 0 kJ/mol of formula units
**Electronic total energy**: -31.4 eV per formula unit
**V**: 198 Å³ per cell
**Symmetry**: Cc, No. 9

=====

- Which formula does entry 1 have?
  SnHF6